# 1
Material: Sr2NdPaS6
Method: DFT, GGA-PBE
State: optimized geometry

Symmetry = P2_1/c (14)

Cell lengths 7.045, 7.547, 12.456 Å; angles 90.00, 124.37, 90.00 degrees
Fractional coordinates of all 20 atoms:
Sr 0.220 0.080 0.249
Sr 0.220 0.420 0.749
Sr 0.780 0.580 0.251
Sr 0.780 0.920 0.751
Nd 0.000 0.000 0.500
Nd 0.000 0.500 0.000
Pa 0.500 0.000 0.000
Pa 0.500 0.500 0.500
S 0.136 0.187 0.937
S 0.136 0.313 0.437
S 0.251 0.704 0.932
S 0.251 0.796 0.432
S 0.382 0.045 0.759
S 0.382 0.455 0.259
S 0.618 0.545 0.741
S 0.618 0.955 0.241
S 0.749 0.204 0.568
S 0.749 0.296 0.068
S 0.864 0.687 0.563
S 0.864 0.813 0.063

***

# 2
Material: TbNd2PaS4
Method: DFT, GGA-PBE
State: optimized geometry

Symmetry = P2/m (10)

Cell lengths 6.911, 3.964, 6.920 Å; angles 90.00, 109.08, 90.00 degrees
Fractional coordinates of all 8 atoms:
Tb 0.000 0.000 0.000
Nd 0.000 0.500 0.500
Nd 0.500 0.000 0.500
Pa 0.500 0.500 0.000
S 0.247 0.500 0.237
S 0.254 0.000 0.762
S 0.746 0.000 0.238
S 0.753 0.500 0.763

***

# 3
Material: Tb2NdPaS4
Method: DFT, GGA-PBE
State: optimized geometry

Symmetry = P2/m (10)

Cell lengths 6.837, 3.918, 6.884 Å; angles 90.00, 108.97, 90.00 degrees
Fractional coordinates of all 8 atoms:
Tb 0.000 0.000 0.000
Tb 0.500 0.500 0.000
Nd 0.000 0.500 0.500
Pa 0.500 0.000 0.500
S 0.254 0.500 0.246
S 0.259 0.000 0.758
S 0.741 0.000 0.242
S 0.746 0.500 0.754

***

# 4
Material: NdPaTe2S
Method: DFT, GGA-PBE
State: optimized geometry

Symmetry = P4/nmm (129)

Cell lengths 4.416, 4.416, 15.403 Å; angles 90.00, 90.00, 90.00 degrees
Fractional coordinates of all 10 atoms:
Nd 0.250 0.250 0.107
Nd 0.750 0.750 0.893
Pa 0.250 0.250 0.594
Pa 0.750 0.750 0.406
Te 0.250 0.250 0.388
Te 0.250 0.250 0.789
Te 0.750 0.750 0.211
Te 0.750 0.750 0.612
S 0.250 0.750 0.000
S 0.750 0.250 0.000

***

# 5
Material: NdPa2TiS8
Method: DFT, GGA-PBE
State: optimized geometry

Symmetry = P2/m (10)

Cell lengths 6.051, 8.104, 6.297 Å; angles 90.00, 91.42, 90.00 degrees
Fractional coordinates of all 12 atoms:
Nd 0.000 0.000 0.000
Pa 0.500 0.258 0.500
Pa 0.500 0.742 0.500
Ti 0.000 0.500 0.000
S 0.221 0.282 0.170
S 0.221 0.718 0.170
S 0.272 0.500 0.682
S 0.280 0.000 0.651
S 0.720 0.000 0.349
S 0.728 0.500 0.318
S 0.779 0.282 0.830
S 0.779 0.718 0.830

***

# 6
Material: Nd2PaTl2S6
Method: DFT, GGA-PBE
State: optimized geometry

Symmetry = C2/m (12)

Cell lengths 7.141, 7.141, 7.923 Å; angles 98.79, 98.79, 119.80 degrees
Fractional coordinates of all 11 atoms:
Nd 0.166 0.834 0.000
Nd 0.834 0.166 0.000
Pa 0.500 0.500 0.000
Tl 0.332 0.668 0.500
Tl 0.668 0.332 0.500
S 0.115 0.436 0.803
S 0.252 0.252 0.200
S 0.436 0.115 0.803
S 0.564 0.885 0.197
S 0.748 0.748 0.800
S 0.885 0.564 0.197

***

# 7
Material: Nd4PaSb5
Method: DFT, GGA-PBE
State: optimized geometry

Symmetry = I4/m (87)

Cell lengths 7.775, 7.775, 7.775 Å; angles 99.59, 99.59, 131.82 degrees
Fractional coordinates of all 10 atoms:
Nd 0.097 0.302 0.399
Nd 0.302 0.903 0.205
Nd 0.698 0.097 0.795
Nd 0.903 0.698 0.601
Pa 0.500 0.500 0.000
Sb 0.000 0.000 0.000
Sb 0.208 0.598 0.806
Sb 0.402 0.208 0.611
Sb 0.598 0.792 0.389
Sb 0.792 0.402 0.194

***

# 8
Material: NdPaSb
Method: DFT, GGA-PBE
State: optimized geometry

Symmetry = P3m1 (156)

Cell lengths 5.381, 5.381, 3.427 Å; angles 90.00, 90.00, 120.00 degrees
Fractional coordinates of all 3 atoms:
Nd 0.000 0.000 0.000
Pa 0.333 0.667 0.458
Sb 0.667 0.333 0.718

***

# 9
Material: NdPaSb2
Method: DFT, GGA-PBE
State: optimized geometry

Symmetry = C2/c (15)

Cell lengths 9.922, 9.922, 7.684 Å; angles 104.94, 104.94, 126.74 degrees
Fractional coordinates of all 16 atoms:
Nd 0.060 0.940 0.750
Nd 0.185 0.815 0.250
Nd 0.815 0.185 0.750
Nd 0.940 0.060 0.250
Pa 0.310 0.690 0.750
Pa 0.435 0.565 0.250
Pa 0.565 0.435 0.750
Pa 0.690 0.310 0.250
Sb 0.066 0.441 0.257
Sb 0.201 0.326 0.757
Sb 0.326 0.201 0.257
Sb 0.441 0.066 0.757
Sb 0.559 0.934 0.243
Sb 0.674 0.799 0.743
Sb 0.799 0.674 0.243
Sb 0.934 0.559 0.743

***

# 10
Material: NdPaSb
Method: DFT, GGA-PBE
State: optimized geometry

Symmetry = Cmcm (63)

Cell lengths 9.197, 9.197, 5.821 Å; angles 90.00, 90.00, 159.38 degrees
Fractional coordinates of all 6 atoms:
Nd 0.166 0.834 0.750
Nd 0.834 0.166 0.250
Pa 0.500 0.500 0.000
Pa 0.500 0.500 0.500
Sb 0.344 0.656 0.750
Sb 0.656 0.344 0.250

***

# 11
Material: NdPaSb2
Method: DFT, GGA-PBE
State: optimized geometry

Symmetry = P4/mmm (123)

Cell lengths 3.797, 3.797, 7.652 Å; angles 90.00, 90.00, 90.00 degrees
Fractional coordinates of all 4 atoms:
Nd 0.000 0.000 0.000
Pa 0.000 0.000 0.500
Sb 0.500 0.500 0.265
Sb 0.500 0.500 0.735

***

# 12
Material: Nd3PaSb4
Method: DFT, GGA-PBE
State: optimized geometry

Symmetry = Cmmm (65)

Cell lengths 7.765, 7.765, 4.476 Å; angles 90.00, 90.00, 109.31 degrees
Fractional coordinates of all 8 atoms:
Nd 0.000 0.000 0.000
Nd 0.000 0.500 0.500
Nd 0.500 0.000 0.500
Pa 0.500 0.500 0.000
Sb 0.255 0.745 0.000
Sb 0.257 0.257 0.500
Sb 0.743 0.743 0.500
Sb 0.745 0.255 0.000

***

# 13
Material: Nd3PaSb4
Method: DFT, GGA-PBE
State: optimized geometry

Symmetry = I4/mmm (139)

Cell lengths 7.758, 7.758, 7.758 Å; angles 131.84, 131.84, 70.49 degrees
Fractional coordinates of all 8 atoms:
Nd 0.000 0.000 0.000
Nd 0.250 0.750 0.500
Nd 0.750 0.250 0.500
Pa 0.500 0.500 0.000
Sb 0.000 0.500 0.500
Sb 0.257 0.257 0.000
Sb 0.500 0.000 0.500
Sb 0.743 0.743 0.000

***

# 14
Material: NdPaSb
Method: DFT, GGA-PBE
State: optimized geometry

Symmetry = I4mm (107)

Cell lengths 6.028, 6.028, 6.028 Å; angles 140.94, 140.94, 56.43 degrees
Fractional coordinates of all 3 atoms:
Nd 0.000 0.000 0.000
Pa 0.299 0.299 0.000
Sb 0.653 0.653 0.000

***

# 15
Material: NdPaSb2
Method: DFT, GGA-PBE
State: optimized geometry

Symmetry = Fm-3m (225)

Cell lengths 5.386, 5.386, 5.386 Å; angles 60.00, 60.00, 60.00 degrees
Fractional coordinates of all 4 atoms:
Nd 0.000 0.000 0.000
Pa 0.500 0.500 0.500
Sb 0.250 0.250 0.250
Sb 0.750 0.750 0.750

***

# 16
Material: NdScPa2Sb4
Method: DFT, GGA-PBE
State: optimized geometry

Symmetry = P2/m (10)

Cell lengths 7.551, 4.361, 7.580 Å; angles 90.00, 109.39, 90.00 degrees
Fractional coordinates of all 8 atoms:
Nd 0.000 0.000 0.000
Sc 0.500 0.500 0.000
Pa 0.000 0.500 0.500
Pa 0.500 0.000 0.500
Sb 0.260 0.500 0.250
Sb 0.263 0.000 0.758
Sb 0.737 0.000 0.242
Sb 0.740 0.500 0.750

***

# 17
Material: Nd2ScPaSb4
Method: DFT, GGA-PBE
State: optimized geometry

Symmetry = P2/m (10)

Cell lengths 7.568, 4.406, 7.655 Å; angles 90.00, 109.46, 90.00 degrees
Fractional coordinates of all 8 atoms:
Nd 0.000 0.000 0.000
Nd 0.500 0.500 0.000
Sc 0.000 0.500 0.500
Pa 0.500 0.000 0.500
Sb 0.238 0.000 0.730
Sb 0.248 0.500 0.265
Sb 0.752 0.500 0.735
Sb 0.762 0.000 0.270

***

# 18
Material: NdSc2PaSb4
Method: DFT, GGA-PBE
State: optimized geometry

Symmetry = P2/m (10)

Cell lengths 7.393, 4.316, 7.502 Å; angles 90.00, 109.54, 90.00 degrees
Fractional coordinates of all 8 atoms:
Nd 0.000 0.000 0.000
Sc 0.500 0.000 0.500
Sc 0.500 0.500 0.000
Pa 0.000 0.500 0.500
Sb 0.268 0.000 0.752
Sb 0.270 0.500 0.262
Sb 0.730 0.500 0.738
Sb 0.732 0.000 0.248

***

# 19
Material: Nd2SmPaSb5
Method: DFT, GGA-PBE
State: optimized geometry

Symmetry = P4/mmm (123)

Cell lengths 5.471, 5.471, 11.762 Å; angles 90.00, 90.00, 90.00 degrees
Fractional coordinates of all 9 atoms:
Nd 0.000 0.000 0.227
Nd 0.000 0.000 0.773
Sm 0.500 0.500 0.500
Pa 0.500 0.500 0.000
Sb 0.000 0.000 0.500
Sb 0.000 0.500 0.000
Sb 0.500 0.000 0.000
Sb 0.500 0.500 0.251
Sb 0.500 0.500 0.749

***

# 20
Material: NdSmPa2Sb4
Method: DFT, GGA-PBE
State: optimized geometry

Symmetry = P2/m (10)

Cell lengths 7.654, 4.420, 7.717 Å; angles 90.00, 109.32, 90.00 degrees
Fractional coordinates of all 8 atoms:
Nd 0.000 0.000 0.000
Sm 0.500 0.500 0.000
Pa 0.000 0.500 0.500
Pa 0.500 0.000 0.500
Sb 0.249 0.000 0.743
Sb 0.254 0.500 0.258
Sb 0.746 0.500 0.742
Sb 0.751 0.000 0.257

***

# 21
Material: Sr3Nd2PaSb6
Method: DFT, GGA-PBE
State: optimized geometry

Symmetry = C2/m (12)

Cell lengths 7.969, 7.969, 8.060 Å; angles 99.51, 99.51, 120.09 degrees
Fractional coordinates of all 12 atoms:
Sr 0.000 0.000 0.000
Sr 0.329 0.671 0.000
Sr 0.671 0.329 0.000
Nd 0.166 0.834 0.500
Nd 0.834 0.166 0.500
Pa 0.500 0.500 0.500
Sb 0.103 0.425 0.274
Sb 0.256 0.256 0.728
Sb 0.425 0.103 0.274
Sb 0.575 0.897 0.726
Sb 0.744 0.744 0.272
Sb 0.897 0.575 0.726

***

# 22
Material: TbNdPa2Sb4
Method: DFT, GGA-PBE
State: optimized geometry

Symmetry = P2/m (10)

Cell lengths 7.628, 4.405, 7.689 Å; angles 90.00, 109.33, 90.00 degrees
Fractional coordinates of all 8 atoms:
Tb 0.000 0.000 0.000
Nd 0.500 0.500 0.000
Pa 0.000 0.500 0.500
Pa 0.500 0.000 0.500
Sb 0.244 0.000 0.744
Sb 0.247 0.500 0.253
Sb 0.753 0.500 0.747
Sb 0.756 0.000 0.256

***

# 23
Material: NdPaSbTe
Method: DFT, GGA-PBE
State: optimized geometry

Symmetry = F-43m (216)

Cell lengths 5.378, 5.378, 5.378 Å; angles 60.00, 60.00, 60.00 degrees
Fractional coordinates of all 4 atoms:
Nd 0.000 0.000 0.000
Pa 0.500 0.500 0.500
Sb 0.750 0.750 0.750
Te 0.250 0.250 0.250

***

# 24
Material: NdTh2PaSb4
Method: DFT, GGA-PBE
State: optimized geometry

Symmetry = P2/m (10)

Cell lengths 7.747, 4.467, 7.759 Å; angles 90.00, 109.36, 90.00 degrees
Fractional coordinates of all 8 atoms:
Nd 0.000 0.000 0.000
Th 0.500 0.000 0.500
Th 0.500 0.500 0.000
Pa 0.000 0.500 0.500
Sb 0.243 0.000 0.744
Sb 0.246 0.500 0.254
Sb 0.754 0.500 0.746
Sb 0.757 0.000 0.256

***

no.,total DFT energy (no corrections) (eV/cell),raw formation energy (eV per atom)
1,-123.51,-1.936
2,-55.35,-1.897
3,-55.14,-1.889
4,-61.18,-1.183
5,-82.45,-1.481
6,-64.96,-1.494
7,-59.64,-1.047
8,-18.41,-0.009
9,-102.93,-0.806
10,-38.48,-0.285
11,-25.16,-0.664
12,-48.32,-1.004
13,-48.30,-1.002
14,-19.07,-0.229
15,-25.04,-0.632
16,-52.32,-0.717
17,-49.28,-0.928
18,-50.35,-0.867
19,-46.33,-0.218
20,-51.37,-0.801
21,-60.26,-0.954
22,-51.19,-0.789
23,-24.70,-0.793
24,-52.45,-0.857